Computed, not measured: Y4Ga2O9 at its PBEsol-relaxed geometry at the meta-GGA SCAN level of DFT.

The space group is Pbcn (No. 60) and the conventional cell measures 11.344, 6.008 and 10.937 Å, with angles of 90.00, 90.00 and 90.00 degrees. The inequivalent atoms are Y at (0.001, 0.249, 0.085), Y at (0.139, 0.229, 0.793), Ga at (0.227, 0.442, 0.541), O at (0.000, 0.034, 0.250), O at (0.053, 0.383, 0.614), O at (0.117, 0.042, 0.969), O at (0.175, 0.433, 0.377) and O at (0.222, 0.299, 0.137).

Its total DFT energy (no corrections) is -16.62 eV per atom. Its density of states at the Fermi level is 0.000 states/eV/f.u. The magnetic moment is 0.0 μB/f.u. As for the uncorrected formation energy: -3.278 eV/atom.